[1]
! PBE Tb6Pr7Nd16, relaxed; values from VASP
! calculated formation energy: 0.225 eV per atom
! magnetization: 0.000 μB per cell
&SYSTEM
  ibrav = 0, nat = 29, ntyp = 3
/
ATOMIC_SPECIES
Pr 140.91 Pr.upf
Nd 144.24 Nd.upf
Tb 158.93 Tb.upf
CELL_PARAMETERS angstrom
9.9166 0.0000 5.7253
3.3055 9.3494 5.7253
0.0000 0.0000 11.4507
ATOMIC_POSITIONS angstrom
Pr 0.0000 0.0000 5.7253
Pr 1.6528 4.6747 8.5880
Pr 4.9583 0.0000 8.5880
Pr 0.0000 0.0000 0.0000
Pr 4.9583 0.0000 2.8627
Pr 6.6111 4.6747 5.7253
Pr 1.6528 4.6747 2.8627
Nd 4.6136 3.2623 14.9104
Nd 8.6085 6.0871 14.9104
Nd 6.6111 8.9119 11.4507
Nd 6.5845 1.1781 5.7253
Nd 6.6111 0.4375 11.4507
Nd 2.6162 6.0871 11.4507
Nd 9.9166 3.5342 17.1760
Nd 11.5561 8.1714 14.3364
Nd 3.3055 5.8152 5.7253
Nd 4.6136 3.2623 7.9910
Nd 10.6060 3.2623 11.4507
Nd 1.6661 1.1781 8.5650
Nd 6.6376 8.1714 17.1760
Nd 8.6085 6.0871 7.9910
Nd 1.6661 1.1781 2.8857
Nd 11.5561 8.1714 20.0157
Tb 9.7203 6.8733 11.4507
Tb 5.0564 6.8733 14.1434
Tb 8.1657 2.4762 8.7580
Tb 8.1657 2.4762 14.1434
Tb 3.5018 2.4762 11.4507
Tb 5.0564 6.8733 8.7580

---

[2]
! PBE Tb5Pr2Nd4, relaxed; values from VASP
! calculated formation energy: 0.100 eV per atom
! magnetization: 0.000 μB per cell
&SYSTEM
  ibrav = 0, nat = 11, ntyp = 3
/
ATOMIC_SPECIES
Pr 140.91 Pr.upf
Tb 158.93 Tb.upf
Nd 144.24 Nd.upf
CELL_PARAMETERS angstrom
5.7624 0.0000 -1.4057
-0.3757 6.1931 -1.5403
-0.5543 1.5051 10.2416
ATOMIC_POSITIONS angstrom
Pr 3.1396 3.6495 0.3561
Pr 1.6928 4.0487 6.9396
Tb 4.5474 2.0407 6.1273
Tb 2.8812 0.0000 -0.7028
Tb 0.2850 5.6575 1.1683
Tb 3.9810 4.6249 3.8054
Tb 0.8514 3.0733 3.4903
Nd 0.0721 1.7885 0.2954
Nd 1.0744 6.6650 4.4042
Nd 4.7603 5.9098 7.0003
Nd 3.7580 1.0332 2.8915

---

[3]
! PBE TbPr4Nd, relaxed; values from VASP
! calculated formation energy: 0.015 eV per atom
! magnetization: 0.000 μB per cell
&SYSTEM
  ibrav = 0, nat = 6, ntyp = 3
/
ATOMIC_SPECIES
Pr 140.91 Pr.upf
Nd 144.24 Nd.upf
Tb 158.93 Tb.upf
CELL_PARAMETERS angstrom
-0.6909 -7.6349 3.0306
4.3706 -6.6229 2.2335
0.3822 1.8843 4.8395
ATOMIC_POSITIONS angstrom
Pr 2.8320 -7.6080 8.3439
Pr 0.7986 -1.4119 3.2892
Pr 1.2299 -4.7656 1.7597
Pr 3.2632 -10.9618 6.8145
Nd 2.0309 -6.1868 5.0518
Tb 0.0000 0.0000 0.0000

---

[4]
! PBE TbPr12Nd6, relaxed; values from VASP
! calculated formation energy: 0.290 eV per atom
! magnetization: 0.000 μB per cell
&SYSTEM
  ibrav = 0, nat = 19, ntyp = 3
/
ATOMIC_SPECIES
Nd 144.24 Nd.upf
Pr 140.91 Pr.upf
Tb 158.93 Tb.upf
CELL_PARAMETERS angstrom
9.5128 -1.8139 -2.6517
-2.9563 9.2220 -2.6517
-1.6054 -1.8139 9.7441
ATOMIC_POSITIONS angstrom
Nd 4.0134 4.5346 0.8013
Nd 0.9377 1.0595 3.6395
Nd 1.2314 4.5346 3.9029
Nd 4.3514 1.7732 3.9029
Nd 0.5997 3.8208 0.5379
Nd 3.7197 1.0595 0.5379
Pr -2.2622 6.9902 2.2204
Pr 4.6296 5.2309 -3.0050
Pr -2.4858 5.2309 4.9279
Pr 7.2133 -1.3961 2.2204
Pr 2.9888 -1.3961 6.9303
Pr 0.3214 0.3632 7.4459
Pr 7.4369 0.3632 -0.4871
Pr 5.4942 -1.8318 4.9279
Pr 1.9622 6.9902 -2.4895
Pr -1.7489 2.7970 6.9303
Pr 6.7000 2.7970 -2.4895
Pr -0.5431 7.4259 -0.4871
Tb 0.0000 0.0000 0.0000

---

[5]
! PBE Tb4Pr5Nd4, relaxed; values from VASP
! calculated formation energy: 0.015 eV per atom
! magnetization: 0.000 μB per cell
&SYSTEM
  ibrav = 0, nat = 13, ntyp = 3
/
ATOMIC_SPECIES
Tb 158.93 Tb.upf
Pr 140.91 Pr.upf
Nd 144.24 Nd.upf
CELL_PARAMETERS angstrom
0.7409 4.7359 -1.9000
-6.2833 5.6817 4.7154
6.7949 4.0056 5.6374
ATOMIC_POSITIONS angstrom
Tb -1.3363 6.1442 0.8004
Tb 2.5889 8.2790 7.6524
Tb -2.5433 10.7950 4.9255
Tb 3.7958 3.6283 3.5273
Pr 0.8471 3.2551 1.4472
Pr -3.3843 7.5296 3.4551
Pr 4.6368 6.8936 4.9977
Pr 0.0000 0.0000 0.0000
Pr 0.4054 11.1682 7.0056
Nd -0.4047 7.9175 5.5838
Nd -1.2509 4.6588 4.1280
Nd 1.6573 6.5058 2.8690
Nd 2.5035 9.7645 4.3248

---

[6]
! PBE Tb8Pr3Nd3, relaxed; values from VASP
! calculated formation energy: 0.108 eV per atom
! magnetization: 0.000 μB per cell
&SYSTEM
  ibrav = 0, nat = 14, ntyp = 3
/
ATOMIC_SPECIES
Tb 158.93 Tb.upf
Pr 140.91 Pr.upf
Nd 144.24 Nd.upf
CELL_PARAMETERS angstrom
-4.3823 2.5268 -2.7026
-7.9093 -5.6510 1.4563
-2.1937 8.1288 5.0717
ATOMIC_POSITIONS angstrom
Tb -7.5799 -0.5274 -0.3729
Tb -6.9053 5.5319 4.1984
Tb -3.5461 2.6609 2.1526
Tb -4.7193 -0.1674 1.4105
Tb -9.7659 5.1720 2.4149
Tb -9.4252 -0.5431 2.6045
Tb -5.0601 5.5477 1.2210
Tb -10.9391 2.3436 1.6729
Pr -5.5016 2.5172 -0.8964
Pr -7.2426 2.5023 1.9127
Pr -8.9836 2.4874 4.7219
Nd -2.1911 1.2634 -1.3513
Nd -3.2639 5.5485 4.3947
Nd -6.8390 -3.0707 2.1333

---

[7]
! PBE Tb3Pr4Nd, relaxed; values from VASP
! calculated formation energy: 0.016 eV per atom
! magnetization: 0.000 μB per cell
&SYSTEM
  ibrav = 0, nat = 16, ntyp = 3
/
ATOMIC_SPECIES
Nd 144.24 Nd.upf
Pr 140.91 Pr.upf
Tb 158.93 Tb.upf
CELL_PARAMETERS angstrom
7.2972 0.0000 0.0000
0.0000 7.2907 0.0000
0.0000 0.0000 10.3522
ATOMIC_POSITIONS angstrom
Nd 3.6493 5.9114 0.0000
Nd 3.6479 2.2661 5.1761
Pr 5.4843 0.4414 7.7616
Pr 7.2962 5.9116 0.0000
Pr 0.0010 2.2663 5.1761
Pr 3.6502 2.2627 0.0000
Pr 1.8129 4.0868 7.7667
Pr 5.4843 0.4414 2.5906
Pr 3.6470 5.9081 5.1761
Pr 1.8129 4.0868 2.5855
Tb 5.4875 4.0870 2.5869
Tb 7.2971 5.9089 5.1761
Tb 5.4875 4.0870 7.7653
Tb 1.8097 0.4417 7.7631
Tb 0.0001 2.2636 0.0000
Tb 1.8097 0.4417 2.5892

---

[8]
! PBE Tb4Pr4Nd3, relaxed; values from VASP
! calculated formation energy: 0.127 eV per atom
! magnetization: 0.000 μB per cell
&SYSTEM
  ibrav = 0, nat = 11, ntyp = 3
/
ATOMIC_SPECIES
Pr 140.91 Pr.upf
Tb 158.93 Tb.upf
Nd 144.24 Nd.upf
CELL_PARAMETERS angstrom
-0.7611 -3.5059 -0.6123
1.4002 1.3372 -9.3965
10.4730 -1.4779 6.2480
ATOMIC_POSITIONS angstrom
Pr 7.3913 -2.0512 2.5482
Pr 3.7208 -1.5955 -6.3090
Pr 7.8884 -1.5765 -0.7876
Pr 3.2237 -2.0702 -2.9733
Tb 4.7997 -2.9835 0.2906
Tb -0.1247 -1.5086 -2.0233
Tb 0.7638 -0.6601 -7.9855
Tb 6.3124 -0.6632 -4.0515
Nd 8.7856 -3.0948 -4.0290
Nd 2.3265 -0.5519 0.2681
Nd 0.7001 0.6686 -4.6983

---

[9]
! PBE Tb2Pr3Nd6, relaxed; values from VASP
! calculated formation energy: 0.012 eV per atom
! magnetization: 0.000 μB per cell
&SYSTEM
  ibrav = 0, nat = 11, ntyp = 3
/
ATOMIC_SPECIES
Nd 144.24 Nd.upf
Pr 140.91 Pr.upf
Tb 158.93 Tb.upf
CELL_PARAMETERS angstrom
3.6593 0.0000 0.2245
1.8227 3.1730 0.2245
-0.1911 -0.1106 33.0515
ATOMIC_POSITIONS angstrom
Nd 0.9110 0.5273 15.0862
Nd 0.3665 0.2121 23.9622
Nd 1.8218 1.0545 30.1759
Nd 4.9244 2.8502 9.5383
Nd 4.3799 2.5351 18.4143
Nd 3.4691 2.0079 3.3246
Pr 3.8345 2.2194 27.3046
Pr 1.4564 0.8430 6.1958
Pr 0.0000 0.0000 0.0000
Tb 2.9178 1.6888 12.3109
Tb 2.3731 1.3736 21.1896

---

[10]
! PBE Tb4PrNd6, relaxed; values from VASP
! calculated formation energy: 0.292 eV per atom
! magnetization: 0.001 μB per cell
&SYSTEM
  ibrav = 0, nat = 11, ntyp = 3
/
ATOMIC_SPECIES
Nd 144.24 Nd.upf
Tb 158.93 Tb.upf
Pr 140.91 Pr.upf
CELL_PARAMETERS angstrom
7.5977 -3.1689 -5.7166
-5.3040 8.2282 2.1471
-2.0427 3.1689 9.2861
ATOMIC_POSITIONS angstrom
Nd -5.2461 8.1384 5.9767
Nd 2.7775 0.0000 1.7848
Nd 3.5074 0.0898 -1.5386
Nd -4.0780 6.3262 8.5338
Nd 1.1468 2.5297 -1.7848
Nd -1.2790 5.0709 4.1780
Tb -3.3902 5.2592 1.4480
Tb 0.1594 2.9690 2.0313
Tb -1.3460 2.0881 5.9226
Tb -2.5189 9.3090 7.7479
Pr 0.0000 0.0000 0.0000

---

[11]
! PBE Tb5PrNd7, relaxed; values from VASP
! calculated formation energy: 0.218 eV per atom
! magnetization: 0.001 μB per cell
&SYSTEM
  ibrav = 0, nat = 13, ntyp = 3
/
ATOMIC_SPECIES
Pr 140.91 Pr.upf
Tb 158.93 Tb.upf
Nd 144.24 Nd.upf
CELL_PARAMETERS angstrom
6.7553 0.0000 0.0000
3.3777 8.2262 0.1584
3.3777 0.1319 8.2267
ATOMIC_POSITIONS angstrom
Pr 6.7553 8.0555 8.0815
Tb 4.9663 4.4247 0.0883
Tb 4.9663 0.0740 4.4250
Tb 8.5444 0.0740 4.4250
Tb 10.1330 6.4194 6.4402
Tb 8.5444 4.4247 0.0883
Nd 10.1330 5.7275 2.9779
Nd 6.7553 1.6707 7.0003
Nd 6.7553 6.9949 1.6933
Nd 6.7553 2.2589 2.2662
Nd 6.7553 4.8173 4.8328
Nd 10.1330 2.9594 5.7371
Nd 3.3777 2.2476 2.2548

---

[12]
! PBE Tb7PrNd12, relaxed; values from VASP
! calculated formation energy: 0.149 eV per atom
! magnetization: 0.000 μB per cell
&SYSTEM
  ibrav = 0, nat = 20, ntyp = 3
/
ATOMIC_SPECIES
Tb 158.93 Tb.upf
Nd 144.24 Nd.upf
Pr 140.91 Pr.upf
CELL_PARAMETERS angstrom
-5.5211 -3.7490 6.7287
8.3552 2.1127 3.9422
-3.9970 8.1050 -2.8545
ATOMIC_POSITIONS angstrom
Tb 4.1117 0.4064 8.1762
Tb -2.2898 -2.6054 7.2573
Tb -5.2745 6.0622 -0.3597
Tb 6.1415 4.4579 2.6663
Tb -0.5814 3.2343 3.9082
Tb 1.1270 9.0740 0.5591
Tb -7.3044 2.0107 5.1502
Nd 1.8505 5.4887 5.7200
Nd 1.5684 0.1596 3.4569
Nd 0.5676 3.7410 0.3442
Nd -2.8974 4.4931 1.5005
Nd -1.4450 0.0895 5.3608
Nd 2.8652 3.6347 3.0682
Nd -2.7312 6.3090 4.3596
Nd 1.7346 1.9755 6.3159
Nd 0.2822 6.3791 2.4556
Nd -3.0133 0.9800 2.0964
Nd -4.0281 2.8339 4.7482
Nd -1.7304 2.7277 7.4722
Pr 0.0000 0.0000 0.0000

---

> What is the calculated formation energy in the ninth record?

0.012 eV per atom

---

> Number 11 is which compound?

Tb5PrNd7